No. 1
Material: Rb2BaCaSi
Method: DFT, PBE
State: optimized geometry

Output
Formation energy from raw total energies   1.26 eV per atom
Crystal system   tetragonal
M_tot   1.616 Bohr magnetons per cell

Cell lengths 8.045, 7.387, 8.045 Å; angles 90.00, 90.00, 90.00 degrees
Site moments in Bohr magnetons follow the coordinates.
Fractional positions:
Ca 0.000 0.500 0.000  -0.02
Si 0.500 0.500 0.500  0.55
Ba 0.000 0.000 0.000  -0.09
Rb 0.000 0.000 0.500  -0.01
Rb 0.500 0.000 0.000  -0.01

---

No. 2
Material: Ac6Si3S2Cl
Method: DFT, PBE
State: optimized geometry

Output
Formation energy from raw total energies   -1.25 eV per atom
Crystal system   monoclinic
M_tot   0.000 Bohr magnetons per cell

Cell lengths 4.529, 8.907, 9.973 Å; angles 101.31, 103.12, 90.00 degrees
Fractional positions:
Ac 0.328 0.915 0.655
Ac 0.666 0.587 0.332
Ac 0.672 0.085 0.345
Ac 0.000 0.264 0.001
Ac 0.000 0.736 0.999
Ac 0.334 0.413 0.668
Si 0.500 0.500 0.000
Si 0.836 0.165 0.672
Si 0.164 0.835 0.328
S 0.833 0.666 0.666
S 0.167 0.334 0.334
Cl 0.500 0.000 0.000

---

No. 3
Material: BaFePb2Cl8
Method: DFT, PBE
State: optimized geometry

Output
Formation energy from raw total energies   -1.33 eV per atom
Crystal system   monoclinic
M_tot   4.000 Bohr magnetons per cell

Cell lengths 6.662, 6.492, 8.711 Å; angles 89.99, 90.00, 88.94 degrees
Site moments in Bohr magnetons follow the coordinates.
Fractional positions:
Ba 0.000 0.000 0.500  0.00
Fe 0.000 0.000 0.000  3.50
Pb 0.500 0.500 0.772  0.01
Pb 0.500 0.500 0.228  0.01
Cl 0.155 0.783 0.205  0.04
Cl 0.696 0.761 0.000  0.03
Cl 0.845 0.217 0.205  0.04
Cl 0.845 0.217 0.795  0.04
Cl 0.304 0.239 0.000  0.03
Cl 0.155 0.783 0.795  0.04
Cl 0.636 0.725 0.500  0.00
Cl 0.364 0.275 0.500  0.00

---

No. 4
Material: Ni5Mo2Ir2
Method: DFT, PBE
State: optimized geometry

Output
Crystal system   triclinic
Energy relative to the elements   -0.095 eV per atom
M_tot   0.000 Bohr magnetons per cell

Cell lengths 5.880, 7.849, 6.412 Å; angles 144.18, 69.35, 132.08 degrees
Fractional positions:
Ni 0.663 0.889 0.330
Ni 0.337 0.111 0.670
Ni 0.672 0.233 0.342
Ni 0.328 0.767 0.658
Ni 0.000 0.000 0.000
Mo 0.675 0.557 0.321
Mo 0.325 0.443 0.679
Ir 0.994 0.318 0.994
Ir 0.006 0.682 0.006

---

No. 5
Material: LaBi2SbPd2
Method: DFT, PBE
State: optimized geometry

Output
Formation energy from raw total energies   -0.36 eV per atom
Crystal system   tetragonal
M_tot   0.000 Bohr magnetons per cell

Cell lengths 4.658, 4.658, 9.017 Å; angles 104.97, 104.97, 90.00 degrees
Fractional positions:
La 0.500 0.500 0.000
Bi 0.250 0.750 0.500
Bi 0.750 0.250 0.500
Sb 0.000 0.000 0.000
Pd 0.845 0.845 0.691
Pd 0.155 0.155 0.309

---

No. 6
Material: AcYAu
Method: DFT, PBE
State: optimized geometry

Output
Crystal system   trigonal
Polymorph energy (0 for the lowest one)   39 kJ/mol of formula units
Energy relative to the elements   -0.399 eV per atom
M_tot   0.000 Bohr magnetons per cell

Cell lengths 4.477, 4.984, 4.984 Å; angles 120.00, 90.00, 90.00 degrees
Fractional positions:
Y 0.497 0.667 0.333
Ac 0.998 0.000 0.000
Au 0.505 0.333 0.667

---

No. 7
Material: Li2PrInAg
Method: DFT, PBE
State: optimized geometry

Output
Crystal system   orthorhombic
Energy relative to the elements   -0.201 eV per atom
M_tot   0.003 Bohr magnetons per cell

Cell lengths 3.463, 4.880, 7.243 Å; angles 109.69, 103.83, 90.00 degrees
Fractional positions:
Li 0.714 0.214 0.429
Li 0.050 0.050 0.101
Pr 0.438 0.438 0.875
In 0.167 0.667 0.333
Ag 0.843 0.843 0.687

---

No. 8
Material: Li3Ca5
Method: DFT, PBE
State: optimized geometry

Output
Crystal system   orthorhombic
Polymorph energy (0 for the lowest one)   26 kJ/mol of formula units
Energy relative to the elements   0.048 eV per atom
M_tot   0.000 Bohr magnetons per cell

Cell lengths 7.170, 7.170, 5.572 Å; angles 90.00, 90.00, 105.33 degrees
Fractional positions:
Ca 0.000 0.000 0.000
Ca 0.000 0.500 0.000
Ca 0.500 0.000 0.000
Ca 0.277 0.277 0.500
Ca 0.723 0.723 0.500
Li 0.500 0.500 0.000
Li 0.767 0.233 0.500
Li 0.233 0.767 0.500

---

No. 9
Material: TiCrPb
Method: DFT, PBE
State: optimized geometry

Output
Crystal system   monoclinic
Polymorph energy (0 for the lowest one)   16 kJ/mol of formula units
Energy relative to the elements   0.216 eV per atom
M_tot   0.000 Bohr magnetons per cell

Cell lengths 4.256, 5.724, 9.962 Å; angles 90.00, 114.50, 90.00 degrees
Fractional positions:
Pb 0.328 0.000 0.816
Pb 0.672 0.000 0.184
Pb 0.328 0.500 0.316
Pb 0.672 0.500 0.684
Cr 0.634 0.000 0.610
Cr 0.366 0.000 0.390
Cr 0.634 0.500 0.110
Cr 0.366 0.500 0.890
Ti 0.000 0.259 0.000
Ti 0.000 0.741 0.000
Ti 0.000 0.759 0.500
Ti 0.000 0.241 0.500

---

No. 10
Material: Th2NbCo4As3
Method: DFT, PBE
State: optimized geometry

Output
Crystal system   tetragonal
Energy relative to the elements   -0.716 eV per atom
M_tot   1.131 Bohr magnetons per cell

Cell lengths 4.095, 4.095, 9.969 Å; angles 90.00, 90.00, 90.00 degrees
Site moments in Bohr magnetons follow the coordinates.
Fractional positions:
Th 0.500 0.000 0.239  -0.04
Th 0.000 0.500 0.761  -0.04
Nb 0.500 0.500 0.500  0.00
Co 0.500 0.500 0.000  0.67
Co 0.000 0.000 0.000  0.69
Co 0.500 0.000 0.633  -0.04
Co 0.000 0.500 0.367  -0.04
As 0.000 0.000 0.500  0.00
As 0.500 0.000 0.872  0.01
As 0.000 0.500 0.128  0.01

---

No. 11
Material: ZnHgTeI2
Method: DFT, PBE
State: optimized geometry

Output
Formation energy from raw total energies   0.41 eV per atom
Crystal system   tetragonal
Polymorph energy (0 for the lowest one)   135 kJ/mol of formula units
M_tot   0.271 Bohr magnetons per cell

Cell lengths 5.898, 5.898, 5.743 Å; angles 90.00, 90.00, 90.00 degrees
Site moments in Bohr magnetons follow the coordinates.
Fractional positions:
I 0.000 0.500 0.000  0.02
I 0.500 0.000 0.000  0.02
Zn 0.500 0.500 0.500  0.02
Te 0.000 0.000 0.500  0.10
Hg 0.000 0.000 0.000  0.00

---

No. 12
Material: InAuI2O
Method: DFT, PBE
State: optimized geometry

Output
Formation energy from raw total energies   -0.04 eV per atom
Crystal system   tetragonal
Polymorph energy (0 for the lowest one)   0 kJ/mol of formula units
M_tot   0.000 Bohr magnetons per cell

Cell lengths 6.066, 6.066, 3.908 Å; angles 90.00, 90.00, 90.00 degrees
Fractional positions:
I 0.000 0.500 0.000
I 0.500 0.000 0.000
Au 0.500 0.500 0.500
O 0.000 0.000 0.500
In 0.000 0.000 0.000

---

No. 13
Material: Ta2BePt
Method: DFT, PBE
State: optimized geometry

Output
Crystal system   tetragonal
Energy relative to the elements   -0.221 eV per atom
M_tot   0.000 Bohr magnetons per cell

Cell lengths 3.246, 3.246, 5.912 Å; angles 90.00, 90.00, 90.00 degrees
Fractional positions:
Be 0.000 0.000 0.509
Pt 0.500 0.500 0.725
Ta 0.000 0.000 0.990
Ta 0.500 0.500 0.276

---

No. 14
Material: La2HgRh
Method: DFT, PBE
State: optimized geometry

Output
Crystal system   monoclinic
Energy relative to the elements   -0.585 eV per atom
M_tot   0.000 Bohr magnetons per cell

Cell lengths 4.202, 4.601, 6.154 Å; angles 68.03, 90.00, 90.00 degrees
Fractional positions:
Rh 0.000 0.731 0.409
Hg 0.500 0.550 0.777
La 0.000 0.962 0.952
La 0.500 0.257 0.361

---

No. 15
Material: LiPm2CuTe4
Method: DFT, PBE
State: optimized geometry

Output
Formation energy from raw total energies   -1.00 eV per atom
Crystal system   monoclinic
M_tot   0.000 Bohr magnetons per cell

Cell lengths 4.371, 7.446, 7.661 Å; angles 68.32, 90.00, 90.00 degrees
Fractional positions:
Li 0.000 0.500 0.500
Pm 0.000 0.000 0.000
Pm 0.500 0.000 0.500
Cu 0.500 0.500 0.000
Te 0.000 0.724 0.770
Te 0.000 0.276 0.230
Te 0.500 0.734 0.260
Te 0.500 0.266 0.740

---

No. 16
Material: ZrTa2As
Method: DFT, PBE
State: optimized geometry

Output
Crystal system   monoclinic
Energy relative to the elements   -0.064 eV per atom
M_tot   0.000 Bohr magnetons per cell

Cell lengths 4.858, 3.152, 4.944 Å; angles 87.13, 90.00, 90.00 degrees
Fractional positions:
As 0.500 0.750 0.750
Zr 0.500 0.250 0.250
Ta 0.000 0.949 0.003
Ta 0.000 0.551 0.497

---

No. 17
Material: YPd3N
Method: DFT, PBE
State: optimized geometry

Output
Formation energy from raw total energies   -0.28 eV per atom
Crystal system   cubic
Polymorph energy (0 for the lowest one)   0 kJ/mol of formula units
M_tot   0.000 Bohr magnetons per cell

Cell lengths 4.301, 4.301, 4.301 Å; angles 90.00, 90.00, 90.00 degrees
Fractional positions:
Y 0.500 0.500 0.500
Pd 0.000 0.500 0.000
Pd 0.000 0.000 0.500
Pd 0.500 0.000 0.000
N 0.000 0.000 0.000

---

No. 18
Material: TaGa2Os
Method: DFT, PBE
State: optimized geometry

Output
Crystal system   tetragonal
Polymorph energy (0 for the lowest one)   94 kJ/mol of formula units
Energy relative to the elements   0.365 eV per atom
M_tot   0.000 Bohr magnetons per cell

Cell lengths 7.083, 7.083, 5.690 Å; angles 51.51, 51.51, 90.00 degrees
Fractional positions:
Os 0.000 0.000 0.000
Os 0.750 0.250 0.500
Ga 0.645 0.125 0.250
Ga 0.105 0.625 0.250
Ga 0.375 0.355 0.750
Ga 0.875 0.895 0.750
Ta 0.500 0.500 0.000
Ta 0.250 0.750 0.500

---

No. 19
Material: TcHgW2
Method: DFT, PBE
State: optimized geometry

Output
Crystal system   tetragonal
Energy relative to the elements   0.500 eV per atom
M_tot   0.000 Bohr magnetons per cell

Cell lengths 2.871, 2.871, 8.213 Å; angles 90.00, 90.00, 90.00 degrees
Fractional positions:
Hg 0.500 0.500 0.250
Tc 0.500 0.500 0.750
W 0.000 0.000 0.971
W 0.000 0.000 0.529

---

No. 20
Material: MgZnCd
Method: DFT, PBE
State: optimized geometry

Output
Crystal system   monoclinic
Polymorph energy (0 for the lowest one)   0 kJ/mol of formula units
Energy relative to the elements   -0.045 eV per atom
M_tot   0.000 Bohr magnetons per cell

Cell lengths 3.146, 3.066, 12.461 Å; angles 90.00, 83.55, 90.01 degrees
Fractional positions:
Mg 0.967 0.292 0.543
Mg 0.278 0.792 0.970
Zn 0.845 0.292 0.819
Zn 0.399 0.793 0.693
Cd 0.701 0.289 0.150
Cd 0.546 0.788 0.363